No. 1
# Li5Cd2Ag2Pb | Alexandria via LeMat-Bulk | PBE | optimized geometry
data_Li5Cd2Ag2Pb
_cell_length_a 10.2375
_cell_length_b 10.2375
_cell_length_c 3.6985
_cell_angle_alpha 90.00
_cell_angle_beta 90.00
_cell_angle_gamma 90.00
_symmetry_space_group_name_H-M 'P 1'
_symmetry_Int_Tables_number 1
_symmetry_space_group_name_Hall 'P 1'
loop_
_atom_site_label
_atom_site_fract_x
_atom_site_fract_y
_atom_site_fract_z
Li1 0.0000 0.5000 0.0000
Li2 0.0795 0.1994 0.0000
Li3 0.1994 0.9205 0.0000
Li4 0.3006 0.4205 0.0000
Li5 0.4205 0.6994 0.0000
Li6 0.5000 0.0000 0.0000
Li7 0.5795 0.3006 0.0000
Li8 0.6994 0.5795 0.0000
Li9 0.8006 0.0795 0.0000
Li10 0.9205 0.8006 0.0000
Cd1 0.1711 0.6711 0.5000
Cd2 0.3289 0.1711 0.5000
Cd3 0.6711 0.8289 0.5000
Cd4 0.8289 0.3289 0.5000
Ag1 0.1244 0.3756 0.5000
Ag2 0.3756 0.8756 0.5000
Ag3 0.6244 0.1244 0.5000
Ag4 0.8756 0.6244 0.5000
Pb1 0.0000 0.0000 0.5000
Pb2 0.5000 0.5000 0.5000
# formation enthalpy at 0 K	-0.16	eV per atom
# total moment	0.000	μB/f.u.
# crystal system	tetragonal
# D(E_F)	8.16	states/eV/cell
# final energy	-44.729	eV/cell



No. 2
# Li2CdAgPb | Alexandria via LeMat-Bulk | PBE | optimized geometry
data_Li2CdAgPb
_cell_length_a 5.6785
_cell_length_b 7.2371
_cell_length_c 5.1404
_cell_angle_alpha 90.00
_cell_angle_beta 90.00
_cell_angle_gamma 90.00
_symmetry_space_group_name_H-M 'P 1'
_symmetry_Int_Tables_number 1
_symmetry_space_group_name_Hall 'P 1'
loop_
_atom_site_label
_atom_site_fract_x
_atom_site_fract_y
_atom_site_fract_z
Li1 0.2500 0.1988 0.1786
Li2 0.2500 0.8012 0.1786
Li3 0.7500 0.1988 0.8214
Li4 0.7500 0.8012 0.8214
Cd1 0.2500 0.5000 0.5255
Cd2 0.7500 0.5000 0.4745
Ag1 0.0000 0.5000 0.0000
Ag2 0.5000 0.5000 0.0000
Pb1 0.2500 0.0000 0.6880
Pb2 0.7500 0.0000 0.3120
# formation enthalpy at 0 K	-0.13	eV per atom
# total moment	0.000	μB/f.u.
# crystal system	orthorhombic
# D(E_F)	3.68	states/eV/cell
# final energy	-23.906	eV/cell



No. 3
# Li2Cd2Ag2Pb | Alexandria via LeMat-Bulk | PBE | optimized geometry
data_Li2Cd2Ag2Pb
_cell_length_a 5.5184
_cell_length_b 5.5184
_cell_length_c 6.2384
_cell_angle_alpha 90.37
_cell_angle_beta 90.37
_cell_angle_gamma 48.15
_symmetry_space_group_name_H-M 'P 1'
_symmetry_Int_Tables_number 1
_symmetry_space_group_name_Hall 'P 1'
loop_
_atom_site_label
_atom_site_fract_x
_atom_site_fract_y
_atom_site_fract_z
Li1 0.0858 0.0858 0.3038
Li2 0.9142 0.9142 0.6962
Cd1 0.2028 0.2028 0.8312
Cd2 0.7972 0.7972 0.1688
Ag1 0.3590 0.3590 0.4503
Ag2 0.6410 0.6410 0.5497
Pb1 0.5000 0.5000 0.0000
# formation enthalpy at 0 K	-0.14	eV per atom
# total moment	0.000	μB/f.u.
# crystal system	monoclinic
# D(E_F)	2.05	states/eV/cell
# final energy	-16.056	eV/cell



No. 4
# Li5CdAg2Pb2 | Alexandria via LeMat-Bulk | PBE | optimized geometry
data_Li5CdAg2Pb2
_cell_length_a 10.3955
_cell_length_b 10.3955
_cell_length_c 3.7009
_cell_angle_alpha 90.00
_cell_angle_beta 90.00
_cell_angle_gamma 90.00
_symmetry_space_group_name_H-M 'P 1'
_symmetry_Int_Tables_number 1
_symmetry_space_group_name_Hall 'P 1'
loop_
_atom_site_label
_atom_site_fract_x
_atom_site_fract_y
_atom_site_fract_z
Li1 0.0000 0.5000 0.0000
Li2 0.0609 0.1988 0.0000
Li3 0.1988 0.9391 0.0000
Li4 0.3012 0.4391 0.0000
Li5 0.4391 0.6988 0.0000
Li6 0.5000 0.0000 0.0000
Li7 0.5609 0.3012 0.0000
Li8 0.6988 0.5609 0.0000
Li9 0.8012 0.0609 0.0000
Li10 0.9391 0.8012 0.0000
Cd1 0.0000 0.0000 0.5000
Cd2 0.5000 0.5000 0.5000
Ag1 0.1277 0.3723 0.5000
Ag2 0.3723 0.8723 0.5000
Ag3 0.6277 0.1277 0.5000
Ag4 0.8723 0.6277 0.5000
Pb1 0.1712 0.6712 0.5000
Pb2 0.3288 0.1712 0.5000
Pb3 0.6712 0.8288 0.5000
Pb4 0.8288 0.3288 0.5000
# formation enthalpy at 0 K	-0.18	eV per atom
# total moment	0.000	μB/f.u.
# crystal system	tetragonal
# D(E_F)	4.15	states/eV/cell
# final energy	-50.767	eV/cell



No. 5
# Li5CdAg2Pd2 | Alexandria via LeMat-Bulk | PBE | optimized geometry
data_Li5CdAg2Pd2
_cell_length_a 9.2475
_cell_length_b 9.2475
_cell_length_c 3.9429
_cell_angle_alpha 90.00
_cell_angle_beta 90.00
_cell_angle_gamma 90.00
_symmetry_space_group_name_H-M 'P 1'
_symmetry_Int_Tables_number 1
_symmetry_space_group_name_Hall 'P 1'
loop_
_atom_site_label
_atom_site_fract_x
_atom_site_fract_y
_atom_site_fract_z
Li1 0.0000 0.5000 0.0000
Li2 0.0810 0.2063 0.0000
Li3 0.2063 0.9190 0.0000
Li4 0.2937 0.4190 0.0000
Li5 0.4190 0.7063 0.0000
Li6 0.5000 0.0000 0.0000
Li7 0.5810 0.2937 0.0000
Li8 0.7063 0.5810 0.0000
Li9 0.7937 0.0810 0.0000
Li10 0.9190 0.7937 0.0000
Cd1 0.0000 0.0000 0.5000
Cd2 0.5000 0.5000 0.5000
Ag1 0.1793 0.6793 0.5000
Ag2 0.3207 0.1793 0.5000
Ag3 0.6793 0.8207 0.5000
Ag4 0.8207 0.3207 0.5000
Pd1 0.1126 0.3874 0.5000
Pd2 0.3874 0.8874 0.5000
Pd3 0.6126 0.1126 0.5000
Pd4 0.8874 0.6126 0.5000
# formation enthalpy at 0 K	-0.22	eV per atom
# total moment	0.000	μB/f.u.
# crystal system	tetragonal
# D(E_F)	6.27	states/eV/cell
# final energy	-57.469	eV/cell



No. 6
# Li2Cd2AgPd2 | Alexandria via LeMat-Bulk | PBE | optimized geometry
data_Li2Cd2AgPd2
_cell_length_a 4.9817
_cell_length_b 4.9817
_cell_length_c 6.4688
_cell_angle_alpha 97.11
_cell_angle_beta 97.11
_cell_angle_gamma 48.14
_symmetry_space_group_name_H-M 'P 1'
_symmetry_Int_Tables_number 1
_symmetry_space_group_name_Hall 'P 1'
loop_
_atom_site_label
_atom_site_fract_x
_atom_site_fract_y
_atom_site_fract_z
Li1 0.2082 0.2082 0.1725
Li2 0.7918 0.7918 0.8275
Cd1 0.0809 0.0809 0.7135
Cd2 0.9191 0.9191 0.2865
Ag1 0.5000 0.5000 0.0000
Pd1 0.3607 0.3607 0.5793
Pd2 0.6393 0.6393 0.4207
# formation enthalpy at 0 K	-0.33	eV per atom
# total moment	0.000	μB/f.u.
# crystal system	monoclinic
# D(E_F)	2.31	states/eV/cell
# final energy	-21.239	eV/cell



> What is the formula in the fifth record?

Li5CdAg2Pd2